1.
Compound: K2PaAu2Se4
Source: Alexandria via LeMat-Bulk
Functional: PBE-GGA
Structure: relaxed

Calculated values
Fermi-level density of states: 0.471 states/eV per atom
formation energy from raw total energies: -8.38 eV per formula unit
electronic total energy: -4.507 eV per atom

a b c (Å): 15.392 4.185 8.140
angles (deg): 90.00 110.71 90.00
Space group C2/m (No. 12)
Symmetry-distinct sites (fractional):
K 0.134 0.000 0.083
Pa 0.000 0.000 0.500
Au 0.181 0.500 0.503
Se 0.013 0.500 0.261
Se 0.192 0.000 0.715


2.
Compound: MgPaP
Source: Alexandria via LeMat-Bulk
Functional: PBE-GGA
Structure: relaxed

Calculated values
Fermi-level density of states: 1.458 states/eV per atom
E_form: -0.362 eV per atom
electronic total energy: -5.862 eV per atom

a b c (Å): 4.7789 4.7789 22.0849
angles (deg): 90.00 90.00 120.00
Space group R-3m (No. 166, hexagonal axes)
Symmetry-distinct sites (fractional):
Mg 0.0000 0.0000 0.1616
Pa 0.0000 0.0000 0.4035
P 0.0000 0.0000 0.2800


3.
Compound: La4Tb15Y
Source: Alexandria via LeMat-Bulk
Functional: PBE-GGA
Structure: relaxed

Calculated values
Fermi-level density of states: 1.489 states/eV per atom
E_form: 0.025 eV per atom
electronic total energy: -4.756 eV per atom

a b c (Å): 5.102 5.102 25.390
angles (deg): 90.00 90.00 90.00
Space group P4/mmm (No. 123)
Symmetry-distinct sites (fractional):
La 0.000 0.000 0.101
La 0.000 0.000 0.301
Tb 0.000 0.500 0.000
Tb 0.000 0.500 0.201
Tb 0.000 0.500 0.402
Tb 0.500 0.500 0.100
Tb 0.500 0.500 0.302
Tb 0.500 0.500 0.500
Y 0.000 0.000 0.500


4.
Compound: Ti2TlBr
Source: Alexandria via LeMat-Bulk
Functional: PBE-GGA
Structure: relaxed

Calculated values
Fermi-level density of states: 0.475 states/eV per atom
formation energy from raw total energies: 1.64 eV per formula unit
electronic total energy: -4.548 eV per atom

a b c (Å): 4.261 4.261 19.772
angles (deg): 90.00 90.00 90.00
Space group I-42d (No. 122)
Symmetry-distinct sites (fractional):
Ti 0.247 0.250 0.125
Tl 0.000 0.000 0.000
Br 0.000 0.000 0.500


5.
Compound: CaAgGe2
Source: Alexandria via LeMat-Bulk
Functional: PBE-GGA
Structure: relaxed

Calculated values
Fermi-level density of states: 0.562 states/eV per atom
E_form: -0.104 eV per atom
electronic total energy: -3.626 eV per atom

a b c (Å): 4.560 4.560 18.469
angles (deg): 90.00 90.00 90.00
Space group I-42d (No. 122)
Symmetry-distinct sites (fractional):
Ca 0.000 0.000 0.000
Ag 0.000 0.000 0.500
Ge 0.157 0.250 0.625


6.
Compound: AcNdTlSn
Source: Alexandria via LeMat-Bulk
Functional: PBE-GGA
Structure: relaxed

Calculated values
Fermi-level density of states: 0.666 states/eV per atom
E_form: -0.477 eV per atom
electronic total energy: -4.289 eV per atom

a b c (Å): 8.016 8.016 8.016
angles (deg): 90.00 90.00 90.00
Space group F-43m (No. 216)
Symmetry-distinct sites (fractional):
Ac 0.000 0.000 0.000
Nd 0.000 0.000 0.500
Tl 0.250 0.250 0.750
Sn 0.250 0.250 0.250


7.
Compound: Sm6As2PSe3
Source: Alexandria via LeMat-Bulk
Functional: PBE-GGA
Structure: relaxed

Calculated values
Fermi-level density of states: 0.371 states/eV per atom
formation energy from raw total energies: -21.02 eV per formula unit
electronic total energy: -6.208 eV per atom

a b c (Å): 18.286 4.168 8.392
angles (deg): 90.00 103.84 90.00
Space group C2/m (No. 12)
Symmetry-distinct sites (fractional):
Sm 0.002 0.000 0.235
Sm 0.160 0.500 0.086
Sm 0.168 0.500 0.577
As 0.167 0.000 0.333
P 0.000 0.500 0.000
Se 0.000 0.500 0.500
Se 0.168 0.000 0.833


8.
Compound: Cu3Ni4Rh2
Source: Alexandria via LeMat-Bulk
Functional: PBE-GGA
Structure: relaxed

Calculated values
Fermi-level density of states: 1.391 states/eV per atom
E_form: 0.155 eV per atom
electronic total energy: -5.414 eV per atom

a b c (Å): 11.320 8.831 4.485
angles (deg): 90.00 97.40 90.00
Space group C2/c (No. 15)
Symmetry-distinct sites (fractional):
Cu 0.000 0.006 0.250
Cu 0.094 0.436 0.446
Ni 0.058 0.261 0.001
Ni 0.157 0.177 0.558
Rh 0.236 0.103 0.087


The lowest Fermi-level density of states belongs to which entry?
Sm6As2PSe3


What did the sixth record say?
Compound: AcNdTlSn
Source: Alexandria via LeMat-Bulk
Functional: PBE-GGA
Structure: relaxed

Calculated values
Fermi-level density of states: 0.666 states/eV per atom
E_form: -0.477 eV per atom
electronic total energy: -4.289 eV per atom

a b c (Å): 8.016 8.016 8.016
angles (deg): 90.00 90.00 90.00
Space group F-43m (No. 216)
Symmetry-distinct sites (fractional):
Ac 0.000 0.000 0.000
Nd 0.000 0.000 0.500
Tl 0.250 0.250 0.750
Sn 0.250 0.250 0.250